Computed, not measured: a relaxed structure of CuSbBr2 at the PBE level of DFT.

a = 7.3560 Å, b = 7.3560 Å, c = 7.3560 Å
α = 151.65°, β = 136.23°, γ = 52.97°
Closest atoms and distances in Å follow each position.
Atoms (fractional coordinates):
Sb (0.3848, 0.8848, 0.5000)  2 Cu 2.61, 2 Br 2.83
Br (0.6497, 0.1497, 0.5000)  2 Cu 2.41
Cu (0.5280, 0.5280, 0.0000)  2 Br 2.41, 2 Sb 2.61
Br (0.9376, 0.9376, 0.0000)  2 Sb 2.83

## Properties
crystal system = orthorhombic
calculated total energy = -3.0997 eV per atom
total magnetization = 0.000 Bohr magnetons per cell
SG = Imm2, No. 44
polymorph energy (0 for the lowest one) = 0.033 eV per atom